Here is Pt4RhBr after structural relaxation from the Alexandria database. Energies are from PBE.

## Properties
As for the density of states at the Fermi level: 8.5 states/eV/f.u. The formation energy without anion corrections is 0.6153 eV per atom. As for the magnetization: 1.763 μB per formula unit.

a b c (Å): 5.322 5.322 5.322
angles (deg): 60.00 60.00 60.00
Element x y z (fractional)
Pt 0.125 0.125 0.125
Pt 0.125 0.125 0.626
Pt 0.125 0.626 0.125
Pt 0.626 0.125 0.125
Rh 0.750 0.750 0.750
Br 0.500 0.500 0.500

***

Here is Pt3RhBr after structural relaxation from the Alexandria database. Energies are from PBE.

## Properties
As for the density of states at the Fermi level: 7.2 states/eV/f.u. For the energy above the lowest structure with this stoichiometry, the calculation gives 0 meV/atom. The formation energy without anion corrections is 1.3770 eV per atom. As for the magnetization: 2.043 μB per formula unit.

a b c (Å): 4.866 4.866 4.866
angles (deg): 90.00 90.00 90.00
Element x y z (fractional)
Pt 0.000 0.000 0.500
Pt 0.000 0.500 0.000
Pt 0.500 0.000 0.000
Rh 0.000 0.000 0.000
Br 0.500 0.500 0.500